Entry 1:
Below is a relaxed structure of PrEr2Hg2Pb2, with properties calculated at the PBE level.

As for the total energy: -3.3720 eV per atom. The value obtained for the total magnetization is 0.00 μB per formula unit. As for the density: 10.7 g/cm3.

The structure belongs to space group R-3m (No. 166, hexagonal axes); the cell edges are 5.0967, 5.0967 and 26.7415 Å and the angles 90.00°, 90.00° and 120.00°. The inequivalent atoms are Pr at (0.0000, 0.0000, 0.0000), Er at (0.0000, 0.0000, 0.1320), Hg at (0.0000, 0.0000, 0.4384) and Pb at (0.0000, 0.0000, 0.2690).

Entry 2:
Below is a relaxed structure of ErHgPtPb, with properties calculated at the PBE level.

As for the total energy: -4.1389 eV per atom. The value obtained for the total magnetization is 0.00 μB per formula unit. As for the density: 14.1 g/cm3.

The structure belongs to space group F-43m (No. 216); the cell edges are 7.130, 7.130 and 7.130 Å and the angles 90.00°, 90.00° and 90.00°. The inequivalent atoms are Er at (0.000, 0.000, 0.000), Hg at (0.250, 0.250, 0.250), Pt at (0.250, 0.250, 0.750) and Pb at (0.000, 0.000, 0.500).

Entry 3:
Below is a relaxed structure of ErPuHgPb, with properties calculated at the PBE level.

As for the total energy: -5.9980 eV per atom. The value obtained for the total magnetization is 6.69 μB per formula unit. As for the density: 12.5 g/cm3.

The structure belongs to space group F-43m (No. 216); the cell edges are 7.573, 7.573 and 7.573 Å and the angles 90.00°, 90.00° and 90.00°. The inequivalent atoms are Er at (0.000, 0.000, 0.000), Pu at (0.000, 0.000, 0.500), Hg at (0.250, 0.250, 0.750) and Pb at (0.250, 0.250, 0.250).